No. 1
Zr2TiZn: relaxed, PBE.

a = 3.1436 Å, b = 3.1436 Å, c = 28.4224 Å
α = 90.00°, β = 90.00°, γ = 120.00°
Positions (direct):
Zr 0.0000 0.0000 0.0000
Zr 0.0000 0.0000 0.1671
Zr 0.3333 0.6667 0.6667
Zr 0.3333 0.6667 0.8338
Zr 0.6667 0.3333 0.3333
Zr 0.6667 0.3333 0.5005
Ti 0.0000 0.0000 0.4164
Ti 0.3333 0.6667 0.0830
Ti 0.6667 0.3333 0.7497
Zn 0.0000 0.0000 0.5833
Zn 0.3333 0.6667 0.2500
Zn 0.6667 0.3333 0.9167

The value obtained for the formation energy is -5 meV/atom. The value obtained for the mass density is 6.06 g/cm3. The raw total energy comes out at -6.571 eV per atom.


No. 2
Zr2TiZn: relaxed, PBE.

a = 4.3053 Å, b = 4.3053 Å, c = 4.1509 Å
α = 90.00°, β = 90.00°, γ = 90.00°
Positions (direct):
Zr 0.0000 0.5000 0.0000
Zr 0.5000 0.0000 0.0000
Ti 0.0000 0.0000 0.5000
Zn 0.5000 0.5000 0.5000

The value obtained for the formation energy is -104 meV/atom. The value obtained for the mass density is 6.38 g/cm3. The raw total energy comes out at -6.670 eV per atom.


No. 3
Zr4TiZn3: relaxed, PBE.

a = 3.2832 Å, b = 3.2832 Å, c = 14.2072 Å
α = 90.00°, β = 90.00°, γ = 90.00°
Positions (direct):
Zr 0.0000 0.0000 0.1226
Zr 0.0000 0.0000 0.3682
Zr 0.0000 0.0000 0.6318
Zr 0.0000 0.0000 0.8774
Ti 0.5000 0.5000 0.5000
Zn 0.5000 0.5000 0.0000
Zn 0.5000 0.5000 0.2444
Zn 0.5000 0.5000 0.7556

The value obtained for the formation energy is -187 meV/atom. The value obtained for the mass density is 6.60 g/cm3. The raw total energy comes out at -5.926 eV per atom.


No. 4
Zr2TiZn2: relaxed, PBE.

a = 14.1681 Å, b = 4.2433 Å, c = 3.1205 Å
α = 90.00°, β = 90.07°, γ = 90.00°
Positions (direct):
Zr 0.1116 0.0000 0.9998
Zr 0.3884 0.5000 0.0002
Zr 0.6116 0.5000 0.9998
Zr 0.8884 0.0000 0.0002
Ti 0.0000 0.5000 0.5000
Ti 0.5000 0.0000 0.5000
Zn 0.2004 0.5000 0.4999
Zn 0.2996 0.0000 0.5001
Zn 0.7004 0.0000 0.4999
Zn 0.7996 0.5000 0.5001

The value obtained for the formation energy is -131 meV/atom. The calculation puts the offset from the most stable computed form at 0.000 eV per atom. The value obtained for the mass density is 6.39 g/cm3. The raw total energy comes out at -5.639 eV per atom.


No. 5
ZrTiZn4: relaxed, PBE.

a = 3.0068 Å, b = 4.3333 Å, c = 7.5344 Å
α = 90.00°, β = 90.00°, γ = 90.00°
Positions (direct):
Zr 0.0000 0.0000 0.0000
Ti 0.0000 0.5000 0.5000
Zn 0.5000 0.0000 0.3395
Zn 0.5000 0.0000 0.6605
Zn 0.5000 0.5000 0.1745
Zn 0.5000 0.5000 0.8255

The value obtained for the formation energy is -218 meV/atom. The calculation puts the offset from the most stable computed form at 0.021 eV per atom. The value obtained for the mass density is 6.78 g/cm3. The raw total energy comes out at -3.807 eV per atom.


No. 6
Zr2TiZn2: relaxed, PBE.

a = 7.4380 Å, b = 7.4380 Å, c = 3.4497 Å
α = 90.00°, β = 90.00°, γ = 90.00°
Positions (direct):
Zr 0.1763 0.3237 0.0000
Zr 0.3237 0.8237 0.0000
Zr 0.6763 0.1763 0.0000
Zr 0.8237 0.6763 0.0000
Ti 0.0000 0.0000 0.5000
Ti 0.5000 0.5000 0.5000
Zn 0.1230 0.6230 0.5000
Zn 0.3770 0.1230 0.5000
Zn 0.6230 0.8770 0.5000
Zn 0.8770 0.3770 0.5000

The value obtained for the formation energy is -89 meV/atom. The calculation puts the offset from the most stable computed form at 0.042 eV per atom. The value obtained for the mass density is 6.28 g/cm3. The raw total energy comes out at -5.597 eV per atom.


No. 7
ZrTi5Zn4: relaxed, PBE.

a = 3.1296 Å, b = 3.1296 Å, c = 16.9000 Å
α = 90.00°, β = 90.00°, γ = 90.00°
Positions (direct):
Zr 0.0000 0.0000 0.0000
Ti 0.5000 0.5000 0.1216
Ti 0.5000 0.5000 0.3122
Ti 0.5000 0.5000 0.5000
Ti 0.5000 0.5000 0.6878
Ti 0.5000 0.5000 0.8784
Zn 0.0000 0.0000 0.2173
Zn 0.0000 0.0000 0.4064
Zn 0.0000 0.0000 0.5936
Zn 0.0000 0.0000 0.7827

The value obtained for the formation energy is -133 meV/atom. The value obtained for the mass density is 5.94 g/cm3. The raw total energy comes out at -5.445 eV per atom.


No. 8
ZrTiZn2: relaxed, PBE.

a = 7.4436 Å, b = 7.4436 Å, c = 5.2492 Å
α = 90.00°, β = 90.00°, γ = 90.00°
Positions (direct):
Zr 0.0000 0.0000 0.0000
Zr 0.0000 0.5000 0.2500
Zr 0.5000 0.0000 0.7500
Zr 0.5000 0.5000 0.5000
Ti 0.0000 0.0000 0.5000
Ti 0.0000 0.5000 0.7500
Ti 0.5000 0.0000 0.2500
Ti 0.5000 0.5000 0.0000
Zn 0.2322 0.2500 0.6250
Zn 0.2500 0.7322 0.8750
Zn 0.2500 0.7678 0.3750
Zn 0.2678 0.2500 0.1250
Zn 0.7322 0.7500 0.1250
Zn 0.7500 0.2322 0.3750
Zn 0.7500 0.2678 0.8750
Zn 0.7678 0.7500 0.6250

The value obtained for the formation energy is 160 meV/atom. The value obtained for the mass density is 6.16 g/cm3. The raw total energy comes out at -4.588 eV per atom.